1.
# BaBePt meta-GGA SCAN PBEsol geometry
data_BaBePt
_chemical_formula_sum 'Ba1 Be1 Pt1'
_cell_length_a 3.9958
_cell_length_b 3.9958
_cell_length_c 4.8632
_cell_angle_alpha 90.00
_cell_angle_beta 90.00
_cell_angle_gamma 120.00
_symmetry_space_group_name_H-M 'P -6 m 2'
_symmetry_Int_Tables_number 187
_symmetry_space_group_name_Hall 'P -6 2'
loop_
_atom_site_label
_atom_site_fract_x
_atom_site_fract_y
_atom_site_fract_z
Ba1 0.0000 0.0000 0.0000
Be1 0.3333 0.6667 0.5000
Pt1 0.6667 0.3333 0.5000
# **Formation energy from the elements**: -0.61 eV per atom
# **Offset from the most stable computed form**: 0 meV/atom

2.
# ReAgHg2 meta-GGA SCAN PBEsol geometry
data_ReAgHg2
_chemical_formula_sum 'Re1 Ag1 Hg2'
_cell_length_a 2.8065
_cell_length_b 4.9311
_cell_length_c 5.2344
_cell_angle_alpha 90.00
_cell_angle_beta 90.00
_cell_angle_gamma 90.00
_symmetry_space_group_name_H-M 'P m m m'
_symmetry_Int_Tables_number 47
loop_
_symmetry_equiv_pos_as_xyz
'x,y,z'
'-x,-y,-z'
'-x,-y,z'
'x,y,-z'
'x,-y,-z'
'-x,y,z'
'-x,y,-z'
'x,-y,z'
loop_
_atom_site_label
_atom_site_fract_x
_atom_site_fract_y
_atom_site_fract_z
Re1 0.0000 0.0000 0.0000
Ag1 0.5000 0.0000 0.5000
Hg1 0.0000 0.5000 0.5000
Hg2 0.5000 0.5000 0.0000
# **Formation energy from the elements**: 0.79 eV per atom
# **Offset from the most stable computed form**: 215 meV/atom

3.
# Ag2IrBr meta-GGA SCAN PBEsol geometry
data_Ag2IrBr
_chemical_formula_sum 'Ag4 Ir2 Br2'
_cell_length_a 4.0855
_cell_length_b 4.0855
_cell_length_c 8.1891
_cell_angle_alpha 90.00
_cell_angle_beta 90.00
_cell_angle_gamma 90.00
_symmetry_space_group_name_H-M 'I -4 m 2'
_symmetry_Int_Tables_number 119
_symmetry_space_group_name_Hall 'I -4 -2'
loop_
_atom_site_label
_atom_site_fract_x
_atom_site_fract_y
_atom_site_fract_z
Ag1 0.0000 0.0000 0.0000
Ag2 0.0000 0.5000 0.2500
Ir1 0.0000 0.5000 0.7500
Br1 0.0000 0.0000 0.5000
# **Offset from the most stable computed form**: 325 meV/atom
# **Uncorrected formation energy**: 897 meV per atom

4.
# AsAuSe2N meta-GGA SCAN PBEsol geometry
data_AsAuSe2N
_chemical_formula_sum 'As1 Au1 Se2 N1'
_cell_length_a 5.1130
_cell_length_b 5.1130
_cell_length_c 4.8811
_cell_angle_alpha 90.00
_cell_angle_beta 90.00
_cell_angle_gamma 90.00
_symmetry_space_group_name_H-M 'P 4/m m m'
_symmetry_Int_Tables_number 123
_symmetry_space_group_name_Hall '-P 4 2'
loop_
_atom_site_label
_atom_site_fract_x
_atom_site_fract_y
_atom_site_fract_z
As1 0.0000 0.0000 0.0000
Au1 0.0000 0.0000 0.5000
Se1 0.0000 0.5000 0.5000
N1 0.5000 0.5000 0.0000
# **Uncorrected formation energy**: 1600 meV per atom

5.
# MgCu2Ir meta-GGA SCAN PBEsol geometry
data_MgCu2Ir
_chemical_formula_sum 'Mg1 Cu2 Ir1'
_cell_length_a 3.7857
_cell_length_b 3.7857
_cell_length_c 3.6577
_cell_angle_alpha 90.00
_cell_angle_beta 90.00
_cell_angle_gamma 90.00
_symmetry_space_group_name_H-M 'P 4/m m m'
_symmetry_Int_Tables_number 123
_symmetry_space_group_name_Hall '-P 4 2'
loop_
_atom_site_label
_atom_site_fract_x
_atom_site_fract_y
_atom_site_fract_z
Mg1 0.0000 0.0000 0.0000
Cu1 0.0000 0.5000 0.5000
Ir1 0.5000 0.5000 0.0000
# **Formation energy from the elements**: -0.15 eV per atom

6.
# Ca2TaSiF meta-GGA SCAN PBEsol geometry
data_Ca2TaSiF
_chemical_formula_sum 'Ca2 Ta1 Si1 F1'
_cell_length_a 4.4750
_cell_length_b 4.4750
_cell_length_c 4.5541
_cell_angle_alpha 90.00
_cell_angle_beta 90.00
_cell_angle_gamma 90.00
_symmetry_space_group_name_H-M 'P 4/m m m'
_symmetry_Int_Tables_number 123
_symmetry_space_group_name_Hall '-P 4 2'
loop_
_atom_site_label
_atom_site_fract_x
_atom_site_fract_y
_atom_site_fract_z
Ca1 0.0000 0.5000 0.0000
Ta1 0.0000 0.0000 0.5000
Si1 0.5000 0.5000 0.5000
F1 0.0000 0.0000 0.0000
# **Uncorrected formation energy**: -420 meV per atom